# 1
# InHg2TeSe2 PBE-GGA relaxed
data_InHg2TeSe2
_symmetry_space_group_name_H-M 'C m c 21'
_symmetry_Int_Tables_number 36
_cell_length_a 13.9772
_cell_length_b 8.1418
_cell_length_c 7.2052
_cell_angle_alpha 90.00
_cell_angle_beta 90.00
_cell_angle_gamma 90.00
loop_
_symmetry_equiv_pos_as_xyz
'x,y,z'
'-x,-y,z+1/2'
'-x,y,z'
'x,-y,z+1/2'
'x+1/2,y+1/2,z'
'-x+1/2,-y+1/2,z+1/2'
'-x+1/2,y+1/2,z'
'x+1/2,-y+1/2,z+1/2'
loop_
_atom_site_label
_atom_site_type_symbol
_atom_site_fract_x
_atom_site_fract_y
_atom_site_fract_z
_atom_site_occupancy
In1 In 0.0000 0.1812 0.0000 1
Hg1 Hg 0.1751 0.3426 0.5200 1
Te1 Te 0.0000 0.1676 0.4071 1
Se1 Se 0.1654 0.3325 0.9134 1
# **Spin magnetization**: 0.00 μB per formula unit
# **Raw formation energy**: -1.2 eV/f.u.
# **V**: 34.2 Å³ per atom

# 2
# In4HgTe2Se PBE-GGA relaxed
data_In4HgTe2Se
_symmetry_space_group_name_H-M 'P 1 2/m 1'
_symmetry_Int_Tables_number 10
_cell_length_a 7.3038
_cell_length_b 4.3963
_cell_length_c 7.7412
_cell_angle_alpha 90.00
_cell_angle_beta 109.45
_cell_angle_gamma 90.00
loop_
_symmetry_equiv_pos_as_xyz
'x,y,z'
'-x,-y,-z'
'-x,y,-z'
'x,-y,z'
loop_
_atom_site_label
_atom_site_type_symbol
_atom_site_fract_x
_atom_site_fract_y
_atom_site_fract_z
_atom_site_occupancy
In1 In 0.2331 0.0000 0.2416 1
In2 In 0.2328 0.5000 0.7523 1
Hg1 Hg 0.0000 0.0000 0.5000 1
Te1 Te 0.5000 0.0000 0.0000 1
Te2 Te 0.5000 0.5000 0.5000 1
Se1 Se 0.0000 0.5000 0.0000 1
# **Spin magnetization**: 0.00 μB per formula unit
# **Raw formation energy**: -2.0 eV/f.u.
# **V**: 29.3 Å³ per atom

Number 1: E -14.6 eV/f.u.. Number 2: E -23.1 eV/f.u..